[1]
ReIrW2 after structural relaxation, computed with PBE-GGA.

Lattice parameters (Å, degrees): 2.8025 2.8025 7.8708 90.00 90.00 90.00
Closest atoms and distances in Å follow each position.
Space group P4/mmm (No. 123)
Asymmetric unit:
Re  0.0000  0.0000  0.0000 x1  8 W 2.80, 4 Re 2.80
Ir  0.0000  0.0000  0.5000 x1  8 W 2.79, 4 Ir 2.80
W  0.5000  0.5000  0.2505 x2  4 Ir 2.79, 4 Re 2.80, 4 W 2.80

Calculated values
- energy relative to the elements (eV/atom) = -0.010

=====

[2]
Y3ErTm2Te6 after structural relaxation, computed with PBE-GGA.

Lattice parameters (Å, degrees): 18.9367 4.3189 8.7156 90.00 103.82 90.00
Closest atoms and distances in Å follow each position.
Space group C2/m (No. 12)
Asymmetric unit:
Y  0.0000  0.0000  0.0000 x2  6 Te 3.09-3.10
Y  0.1657  0.5000  0.3326 x4  6 Te 3.07-3.10
Er  0.0000  0.0000  0.5000 x2  6 Te 3.05-3.06
Tm  0.1659  0.5000  0.8316 x4  6 Te 3.02-3.05
Te  0.0015  0.5000  0.7480 x4  1 Tm 3.02, 2 Er 3.05, 3 Y 3.07-3.09
Te  0.1663  0.0000  0.5864 x4  2 Tm 3.04, 1 Er 3.06, 3 Y 3.09
Te  0.1684  0.0000  0.0795 x4  3 Tm 3.05, 3 Y 3.10

Calculated values
- uncorrected formation energy (meV per atom) = -1247

=====

[3]
Pm5Ho after structural relaxation, computed with PBE-GGA.

Lattice parameters (Å, degrees): 5.1366 10.8731 7.2575 90.00 90.00 90.00
Closest atoms and distances in Å follow each position.
Space group Pmmn (No. 59, origin choice 2)
Asymmetric unit:
Pm  0.2500  0.0831  0.1242 x4  9 Pm 3.62-3.64, 3 Ho 3.62
Pm  0.2500  0.0844  0.6260 x4  10 Pm 3.60-3.65, 2 Ho 3.62
Pm  0.2500  0.7500  0.6259 x2  2 Ho 3.61-3.65, 10 Pm 3.63-3.64
Ho  0.2500  0.7500  0.1237 x2  12 Pm 3.61-3.65

Calculated values
- energy relative to the elements (eV/atom) = 0.014

=====

[4]
Tc3AgH after structural relaxation, computed with PBE-GGA.

Lattice parameters (Å, degrees): 3.9681 3.9681 3.9681 90.00 90.00 90.00
Closest atoms and distances in Å follow each position.
Space group Pm-3m (No. 221)
Asymmetric unit:
Tc  0.0000  0.0000  0.5000 x3  2 H 1.98
Ag  0.5000  0.5000  0.5000 x1  12 Tc 2.81
H  0.0000  0.0000  0.0000 x1  6 Tc 1.98

Calculated values
- offset from the most stable computed form (meV/atom) = 0

=====

[5]
NaCeTlZn after structural relaxation, computed with PBE-GGA.

Lattice parameters (Å, degrees): 7.4183 7.4183 7.4183 90.00 90.00 90.00
Closest atoms and distances in Å follow each position.
Space group F-43m (No. 216)
Asymmetric unit:
Na  0.0000  0.0000  0.0000 x4  4 Tl 3.21, 4 Zn 3.21
Ce  0.0000  0.0000  0.5000 x4  4 Tl 3.21, 4 Zn 3.21
Tl  0.2500  0.2500  0.2500 x4  4 Ce 3.21, 4 Na 3.21
Zn  0.2500  0.2500  0.7500 x4  4 Ce 3.21, 4 Na 3.21

Calculated values
- energy relative to the elements (eV/atom) = -0.098

=====

[6]
Pr3Mg2Zn3 after structural relaxation, computed with PBE-GGA.

Lattice parameters (Å, degrees): 3.7291 5.2684 20.5919 90.00 90.00 90.00
Closest atoms and distances in Å follow each position.
Space group Immm (No. 71)
Asymmetric unit:
Pr  0.0000  0.0000  0.0000 x2  8 Zn 3.18-3.23
Pr  0.0000  0.5000  0.1244 x4  6 Zn 3.17-3.23, 4 Mg 3.45-3.48
Mg  0.0000  0.0000  0.2329 x4  2 Zn 2.89
Zn  0.0000  0.0000  0.5000 x2  8 Pr 3.17-3.23
Zn  0.0000  0.5000  0.3746 x4  2 Mg 2.89, 6 Pr 3.18-3.23

Calculated values
- energy relative to the elements (eV/atom) = -0.198

=====

[7]
CsRbZnGeSe after structural relaxation, computed with PBE-GGA.

Lattice parameters (Å, degrees): 3.4416 4.5883 21.4451 90.00 90.00 90.00
Closest atoms and distances in Å follow each position.
Space group Amm2 (No. 38)
Asymmetric unit:
Cs  0.0000  0.0000  0.0000 x2  2 Cs 3.44, 4 Se 3.64
Rb  0.0000  0.0000  0.1951 x2  2 Rb 3.44, 4 Se 3.47
Zn  0.5000  0.0000  0.8250 x2  2 Ge 2.43
Ge  0.5000  0.0000  0.3623 x2  2 Zn 2.43
Se  0.5000  0.0000  0.6043 x2  2 Se 3.44, 4 Rb 3.47, 4 Cs 3.64

Calculated values
- uncorrected formation energy (meV per atom) = -286
- offset from the most stable computed form (meV/atom) = 132

=====

[8]
CsMg6V after structural relaxation, computed with PBE-GGA.

Lattice parameters (Å, degrees): 5.3248 7.3902 10.6236 90.00 90.00 90.00
Closest atoms and distances in Å follow each position.
Space group Amm2 (No. 38)
Asymmetric unit:
Cs  0.0000  0.0000  0.0000 x2  10 Mg 3.22-3.41
Mg  0.0000  0.0000  0.4536 x2  8 Mg 3.20-3.32, 2 V 3.43
Mg  0.0000  0.2008  0.7206 x4  3 Mg 2.97-3.32, 2 V 3.12, 2 Cs 3.22-3.32
Mg  0.5000  0.0000  0.1907 x2  2 Mg 2.97
Mg  0.5000  0.2388  0.4156 x4  3 Mg 2.97-3.22, 1 V 3.11
V  0.5000  0.0000  0.6565 x2  10 Mg 3.11-3.43

Calculated values
- energy relative to the elements (eV/atom) = 0.471

=====

[9]
In2CoH6Ir after structural relaxation, computed with PBE-GGA.

Lattice parameters (Å, degrees): 8.4887 4.7244 4.7013 90.00 90.00 90.00
Closest atoms and distances in Å follow each position.
Space group Cm (No. 8)
Asymmetric unit:
In  0.0000  0.0000  0.0000 x2  4 H 2.35-2.37
In  0.0170  0.5000  0.5004 x2  8 H 2.35-2.59, 1 Co 2.62
Co  0.3252  0.5000  0.5001 x2  5 H 1.56-1.75
H  0.0089  0.0000  0.4998 x2  1 Co 1.56
H  0.0168  0.5000  0.0015 x2  1 Ir 1.68
H  0.2538  0.2518  0.2571 x4  1 Co 1.75, 1 Ir 1.78
H  0.2536  0.2517  0.7428 x4  1 Co 1.75, 1 Ir 1.78
Ir  0.3187  0.0000  0.0000 x2  5 H 1.68-1.78

Calculated values
- DFT total energy (eV/atom) = -4.1304

=====

[10]
Cd2InSb after structural relaxation, computed with PBE-GGA.

Lattice parameters (Å, degrees): 10.6049 3.3034 5.9332 90.00 101.16 90.00
Closest atoms and distances in Å follow each position.
Space group Cm (No. 8)
Asymmetric unit:
Cd  0.0000  0.0000  0.0000 x2  5 Cd 3.13-3.36, 3 Sb 3.22-3.25, 4 In 3.32-3.48
Cd  0.2387  0.5000  0.2431 x2  5 Cd 3.13-3.36, 3 In 3.21-3.23, 4 Sb 3.34-3.45
In  0.4891  0.0000  0.4804 x2  7 Cd 3.21-3.48, 3 Sb 3.28-3.37, 2 In 3.30
Sb  0.2500  0.0000  0.7574 x2  7 Cd 3.22-3.45, 3 In 3.28-3.37, 2 Sb 3.30

Calculated values
- uncorrected formation energy (meV per atom) = 61
- offset from the most stable computed form (meV/atom) = 24

=====

[11]
HoTm8Pb2 after structural relaxation, computed with PBE-GGA.

Lattice parameters (Å, degrees): 16.4047 6.6060 6.1755 90.00 92.79 90.00
Closest atoms and distances in Å follow each position.
Space group C2/m (No. 12)
Asymmetric unit:
Ho  0.0000  0.0000  0.0000 x2  10 Tm 3.28-3.65
Tm  0.0812  0.5000  0.8774 x4  1 Pb 3.05, 1 Tm 3.13
Tm  0.0954  0.2524  0.3939 x8  2 Pb 3.16-3.27, 4 Tm 3.27-3.45, 1 Ho 3.28
Tm  0.2073  0.0000  0.8478 x4  2 Pb 3.15-3.24
Pb  0.2427  0.5000  0.6539 x4  7 Tm 3.05-3.27

Calculated values
- energy relative to the elements (eV/atom) = -0.056